First-principles (PBE) data for an optimized crystal structure of BeTc2Ni, as listed in Alexandria.

Computed properties:
Its space-group type is No. 99. Its crystal system is tetragonal.

Lattice parameters (Å, degrees): 2.698 2.698 6.566 90.00 90.00 90.00
Fractional positions:
Ni1 0.500 0.500 0.709
Tc1 0.000 0.000 0.986
Tc2 0.500 0.500 0.280
Be1 0.000 0.000 0.525

First-principles (PBE) data for an optimized crystal structure of Be2TcNi, as listed in Alexandria.

Computed properties:
Its space-group type is No. 8. Its crystal system is monoclinic. As for the energy above the most stable polymorph in this dataset: 118.7 meV/atom.

Lattice parameters (Å, degrees): 4.473 4.473 4.092 71.68 71.68 32.76
Fractional positions:
Ni1 0.487 0.487 0.565
Tc1 0.259 0.259 0.192
Be1 0.016 0.016 0.034
Be2 0.739 0.739 0.709

First-principles (PBE) data for an optimized crystal structure of Be2TcNi, as listed in Alexandria.

Computed properties:
Its space-group type is No. 123. Its crystal system is tetragonal. As for the energy above the most stable polymorph in this dataset: 67.0 meV/atom.

Lattice parameters (Å, degrees): 3.979 3.979 2.595 90.00 90.00 90.00
Fractional positions:
Ni1 0.500 0.000 0.500
Tc1 0.000 0.500 0.500
Be1 0.000 0.000 0.000
Be2 0.500 0.500 0.000

First-principles (PBE) data for an optimized crystal structure of BeTcNi2, as listed in Alexandria.

Computed properties:
Its space-group type is No. 139. Its crystal system is tetragonal.

Lattice parameters (Å, degrees): 4.480 4.480 4.480 134.85 134.85 65.77
Fractional positions:
Ni1 0.000 0.000 0.000
Ni2 0.500 0.500 0.000
Tc1 0.750 0.250 0.500
Be1 0.250 0.750 0.500

Going through the records in order, we get E_form values of -0.071 -0.130 -0.182 -0.039 eV per atom.
Going through the records in order, we get V values of 47.8 41.9 41.1 44.5 Å³/f.u..